(1)
DFT (PBE) results for CsTb2PuO8 after structural relaxation.

Cell: 5.1338 5.1338 7.9137 Å, 90.16 90.16 90.19°
Atoms (fractional coordinates):
Cs  0.0000  0.0000  0.0000
Tb  0.4993  0.4993  0.7143
Tb  0.5007  0.5007  0.2857
Pu  0.0000  0.0000  0.5000
O  0.1860  0.8103  0.3214
O  0.1897  0.8140  0.6786
O  0.2969  0.2969  0.4989
O  0.3956  0.3956  0.9996
O  0.6044  0.6044  0.0004
O  0.7031  0.7031  0.5011
O  0.8103  0.1860  0.3214
O  0.8140  0.1897  0.6786

Output
The crystal system is monoclinic. Its spin magnetization is 1.0 μB per cell. Its formation energy without anion corrections is -2.50 eV per atom. The total energy is -94.099 eV/cell. As for the symmetry: C2/m.



(2)
DFT (PBE) results for Cs3Tb3PuO8 after structural relaxation.

Cell: 8.1070 8.1070 8.1070 Å, 51.78 51.78 51.78°
Atoms (fractional coordinates):
Cs  0.0000  0.5000  0.5000
Cs  0.5000  0.0000  0.5000
Cs  0.5000  0.5000  0.0000
Tb  0.0000  0.0000  0.5000
Tb  0.0000  0.5000  0.0000
Tb  0.5000  0.0000  0.0000
Pu  0.5000  0.5000  0.5000
O  0.2197  0.2197  0.2197
O  0.2306  0.7130  0.7130
O  0.2870  0.2870  0.7694
O  0.2870  0.7694  0.2870
O  0.7130  0.2306  0.7130
O  0.7130  0.7130  0.2306
O  0.7694  0.2870  0.2870
O  0.7803  0.7803  0.7803

Output
The crystal system is trigonal. Its spin magnetization is 4.0 μB per cell. Its formation energy without anion corrections is -2.73 eV per atom. The total energy is -111.385 eV/cell. As for the symmetry: R-3m.



(3)
DFT (PBE) results for Cs2TbPu3O12 after structural relaxation.

Cell: 7.7929 7.7929 7.7929 Å, 61.62 61.62 61.62°
Atoms (fractional coordinates):
Cs  0.1218  0.1218  0.1218
Cs  0.8782  0.8782  0.8782
Tb  0.5000  0.5000  0.5000
Pu  0.0000  0.5000  0.5000
Pu  0.5000  0.0000  0.5000
Pu  0.5000  0.5000  0.0000
O  0.1584  0.5717  0.5717
O  0.1902  0.1902  0.5683
O  0.1902  0.5683  0.1902
O  0.4283  0.4283  0.8416
O  0.4283  0.8416  0.4283
O  0.4317  0.8098  0.8098
O  0.5683  0.1902  0.1902
O  0.5717  0.1584  0.5717
O  0.5717  0.5717  0.1584
O  0.8098  0.4317  0.8098
O  0.8098  0.8098  0.4317
O  0.8416  0.4283  0.4283

Output
The crystal system is trigonal. Its spin magnetization is 5.0 μB per cell. Its formation energy without anion corrections is -2.58 eV per atom. The total energy is -155.217 eV/cell. As for the symmetry: R-3m.



(4)
DFT (PBE) results for Cs2TbPuO4 after structural relaxation.

Cell: 6.2560 3.6079 7.2192 Å, 90.00 106.68 90.00°
Atoms (fractional coordinates):
Cs  0.0000  0.0000  0.0000
Cs  0.5000  0.5000  0.0000
Tb  0.0000  0.5000  0.5000
Pu  0.5000  0.0000  0.5000
O  0.2185  0.0000  0.6629
O  0.2797  0.5000  0.3392
O  0.7203  0.5000  0.6608
O  0.7815  0.0000  0.3371

Output
The crystal system is monoclinic. Its spin magnetization is 5.0 μB per cell. Its formation energy without anion corrections is -2.44 eV per atom. The total energy is -59.985 eV/cell. As for the symmetry: P2/m.



(5)
DFT (PBE) results for Cs2PuTc3O12 after structural relaxation.

Cell: 7.5269 7.5269 7.5269 Å, 58.21 58.21 58.21°
Atoms (fractional coordinates):
Cs  0.1197  0.1197  0.1197
Cs  0.8803  0.8803  0.8803
Pu  0.5000  0.5000  0.5000
Tc  0.0000  0.5000  0.5000
Tc  0.5000  0.0000  0.5000
Tc  0.5000  0.5000  0.0000
O  0.1685  0.5708  0.5708
O  0.1967  0.1967  0.5663
O  0.1967  0.5663  0.1967
O  0.4292  0.4292  0.8315
O  0.4292  0.8315  0.4292
O  0.4337  0.8033  0.8033
O  0.5663  0.1967  0.1967
O  0.5708  0.1685  0.5708
O  0.5708  0.5708  0.1685
O  0.8033  0.4337  0.8033
O  0.8033  0.8033  0.4337
O  0.8315  0.4292  0.4292

Output
The crystal system is trigonal. Its spin magnetization is 4.0 μB per cell. Its formation energy without anion corrections is -1.77 eV per atom. The total energy is -138.475 eV/cell. As for the symmetry: R-3m.



(6)
DFT (PBE) results for CsPuTeO6 after structural relaxation.

Cell: 7.6833 7.6833 7.6833 Å, 121.90 118.86 89.36°
Atoms (fractional coordinates):
Cs  0.3680  0.1180  0.2500
Cs  0.6320  0.8820  0.7500
Pu  0.0000  0.5000  0.5000
Pu  0.5000  0.5000  0.0000
Te  0.0000  0.0000  0.5000
Te  0.0000  0.5000  0.0000
O  0.0588  0.4286  0.2280
O  0.0588  0.8308  0.6302
O  0.0639  0.8139  0.2500
O  0.2994  0.1692  0.7280
O  0.2994  0.5714  0.1302
O  0.3178  0.5678  0.7500
O  0.6822  0.4322  0.2500
O  0.7006  0.4286  0.8698
O  0.7006  0.8308  0.2720
O  0.9361  0.1861  0.7500
O  0.9412  0.1692  0.3698
O  0.9412  0.5714  0.7720

Output
The crystal system is orthorhombic. Its spin magnetization is 6.0 μB per cell. Its formation energy without anion corrections is -1.90 eV per atom. The total energy is -130.336 eV/cell. As for the symmetry: Imma.



(7)
DFT (PBE) results for Cs3PuTe2O9 after structural relaxation.

Cell: 6.1924 6.1924 7.5953 Å, 90.00 90.00 120.00°
Atoms (fractional coordinates):
Cs  0.0000  0.0000  0.0000
Cs  0.3333  0.6667  0.6576
Cs  0.6667  0.3333  0.3424
Pu  0.0000  0.0000  0.5000
Te  0.3333  0.6667  0.1486
Te  0.6667  0.3333  0.8514
O  0.0000  0.5000  0.0000
O  0.1543  0.3085  0.3419
O  0.1543  0.8457  0.3419
O  0.3085  0.1543  0.6581
O  0.5000  0.0000  0.0000
O  0.5000  0.5000  0.0000
O  0.6915  0.8457  0.3419
O  0.8457  0.1543  0.6581
O  0.8457  0.6915  0.6581

Output
The crystal system is trigonal. Its spin magnetization is 1.0 μB per cell. Its formation energy without anion corrections is -1.56 eV per atom. The total energy is -91.155 eV/cell. As for the symmetry: P-3m1.



(8)
DFT (PBE) results for CsPu2TeO8 after structural relaxation.

Cell: 4.9895 5.0053 9.1748 Å, 87.33 88.43 87.75°
Atoms (fractional coordinates):
Cs  0.0000  0.0000  0.0000
Pu  0.4839  0.4901  0.3144
Pu  0.5161  0.5099  0.6856
Te  0.0000  0.0000  0.5000
O  0.1887  0.7781  0.6749
O  0.2111  0.8120  0.3261
O  0.3107  0.3065  0.5008
O  0.3871  0.3693  0.8643
O  0.6129  0.6307  0.1357
O  0.6893  0.6935  0.4992
O  0.7889  0.1880  0.6739
O  0.8113  0.2219  0.3251

Output
The crystal system is triclinic. Its spin magnetization is 5.0 μB per cell. Its formation energy without anion corrections is -1.94 eV per atom. The total energy is -95.620 eV/cell. As for the symmetry: P-1.



(9)
DFT (PBE) results for Cs2PuTeO6 after structural relaxation.

Cell: 6.5306 6.5306 6.5306 Å, 58.75 58.75 58.75°
Atoms (fractional coordinates):
Cs  0.0000  0.0000  0.0000
Cs  0.4940  0.4940  0.4940
Pu  0.2529  0.2529  0.2529
Te  0.7248  0.7248  0.7248
O  0.0414  0.0414  0.4729
O  0.0414  0.4729  0.0414
O  0.4729  0.0414  0.0414
O  0.5147  0.5147  0.9755
O  0.5147  0.9755  0.5147
O  0.9755  0.5147  0.5147

Output
The crystal system is trigonal. Its spin magnetization is 2.0 μB per cell. Its formation energy without anion corrections is -1.83 eV per atom. The total energy is -67.266 eV/cell. As for the symmetry: R3m.



(10)
DFT (PBE) results for Cs4Pu3ThO12 after structural relaxation.

Cell: 7.6636 7.6636 7.6636 Å, 109.47 109.47 109.47°
Atoms (fractional coordinates):
Cs  0.0000  0.0000  0.5000
Cs  0.0000  0.5000  0.0000
Cs  0.5000  0.0000  0.0000
Cs  0.5000  0.5000  0.5000
Pu  0.0000  0.5000  0.5000
Pu  0.5000  0.0000  0.5000
Pu  0.5000  0.5000  0.0000
Th  0.0000  0.0000  0.0000
O  0.0000  0.2645  0.2645
O  0.0000  0.7355  0.7355
O  0.2500  0.5000  0.7500
O  0.2500  0.7500  0.5000
O  0.2645  0.0000  0.2645
O  0.2645  0.2645  0.0000
O  0.5000  0.2500  0.7500
O  0.5000  0.7500  0.2500
O  0.7355  0.0000  0.7355
O  0.7355  0.7355  0.0000
O  0.7500  0.2500  0.5000
O  0.7500  0.5000  0.2500

Output
The crystal system is cubic. Its spin magnetization is 8.0 μB per cell. Its formation energy without anion corrections is -2.55 eV per atom. The total energy is -164.265 eV/cell. As for the symmetry: Im-3m.



(11)
DFT (PBE) results for Cs2PuTlO6 after structural relaxation.

Cell: 6.3792 6.3792 6.3792 Å, 116.93 116.93 95.40°
Atoms (fractional coordinates):
Cs  0.2500  0.7500  0.5000
Cs  0.7500  0.2500  0.5000
Pu  0.0000  0.0000  0.0000
Tl  0.5000  0.5000  0.0000
O  0.2031  0.2031  0.4062
O  0.2031  0.7969  0.0000
O  0.2680  0.2680  0.0000
O  0.7320  0.7320  0.0000
O  0.7969  0.2031  0.0000
O  0.7969  0.7969  0.5938

Output
The crystal system is tetragonal. Its spin magnetization is 1.0 μB per cell. Its formation energy without anion corrections is -1.76 eV per atom. The total energy is -65.786 eV/cell. As for the symmetry: I4/mmm.



(12)
DFT (PBE) results for CsPuTlO6 after structural relaxation.

Cell: 7.7343 7.7343 7.7343 Å, 124.76 113.00 92.24°
Atoms (fractional coordinates):
Cs  0.3945  0.1445  0.2500
Cs  0.6055  0.8555  0.7500
Pu  0.0000  0.5000  0.5000
Pu  0.5000  0.5000  0.0000
Tl  0.0000  0.0000  0.5000
Tl  0.0000  0.5000  0.0000
O  0.0982  0.8482  0.2500
O  0.1545  0.4386  0.3498
O  0.1545  0.8046  0.7159
O  0.1826  0.4326  0.7500
O  0.4113  0.1954  0.8498
O  0.4113  0.5614  0.2159
O  0.5887  0.4386  0.7841
O  0.5887  0.8046  0.1502
O  0.8174  0.5674  0.2500
O  0.8455  0.1954  0.2841
O  0.8455  0.5614  0.6502
O  0.9018  0.1518  0.7500

Output
The crystal system is orthorhombic. Its spin magnetization is 0.0 μB per cell. Its formation energy without anion corrections is -1.59 eV per atom. The total energy is -123.254 eV/cell. As for the symmetry: Imma.



(13)
DFT (PBE) results for Cs3PuTl2O6 after structural relaxation.

Cell: 6.9254 6.9254 7.0883 Å, 102.45 102.45 114.00°
Atoms (fractional coordinates):
Cs  0.0000  0.0000  0.0000
Cs  0.3276  0.6724  0.0000
Cs  0.6724  0.3276  0.0000
Pu  0.5000  0.5000  0.5000
Tl  0.1954  0.8046  0.5000
Tl  0.8046  0.1954  0.5000
O  0.1936  0.4537  0.3131
O  0.3562  0.3562  0.6737
O  0.4537  0.1936  0.3131
O  0.5463  0.8064  0.6869
O  0.6438  0.6438  0.3263
O  0.8064  0.5463  0.6869

Output
The crystal system is monoclinic. Its spin magnetization is 1.0 μB per cell. Its formation energy without anion corrections is -1.66 eV per atom. The total energy is -71.267 eV/cell. As for the symmetry: C2/m.



(14)
DFT (PBE) results for CsPuTlO4 after structural relaxation.

Cell: 7.7841 7.7841 7.7841 Å, 127.08 120.46 83.70°
Atoms (fractional coordinates):
Cs  0.3717  0.1217  0.2500
Cs  0.6283  0.8783  0.7500
Pu  0.0000  0.0000  0.5000
Pu  0.0000  0.5000  0.0000
Tl  0.0000  0.5000  0.5000
Tl  0.5000  0.5000  0.0000
O  0.1646  0.1553  0.4907
O  0.1646  0.6740  0.0093
O  0.1662  0.7412  0.4249
O  0.1837  0.2588  0.9249
O  0.8163  0.7412  0.0751
O  0.8338  0.2588  0.5751
O  0.8354  0.3260  0.9907
O  0.8354  0.8447  0.5093

Output
The crystal system is orthorhombic. Its spin magnetization is 4.0 μB per cell. Its formation energy without anion corrections is -2.02 eV per atom. The total energy is -103.116 eV/cell. As for the symmetry: Imma.



(15)
DFT (PBE) results for Cs2TmPu3O12 after structural relaxation.

Cell: 7.7357 7.7357 7.7357 Å, 61.92 61.92 61.92°
Atoms (fractional coordinates):
Cs  0.1237  0.1237  0.1237
Cs  0.8763  0.8763  0.8763
Tm  0.5000  0.5000  0.5000
Pu  0.0000  0.5000  0.5000
Pu  0.5000  0.0000  0.5000
Pu  0.5000  0.5000  0.0000
O  0.1657  0.5686  0.5686
O  0.1878  0.1878  0.5660
O  0.1878  0.5660  0.1878
O  0.4314  0.4314  0.8343
O  0.4314  0.8343  0.4314
O  0.4340  0.8122  0.8122
O  0.5660  0.1878  0.1878
O  0.5686  0.1657  0.5686
O  0.5686  0.5686  0.1657
O  0.8122  0.4340  0.8122
O  0.8122  0.8122  0.4340
O  0.8343  0.4314  0.4314

Output
The crystal system is trigonal. Its spin magnetization is 5.0 μB per cell. Its formation energy without anion corrections is -2.59 eV per atom. The total energy is -155.307 eV/cell. As for the symmetry: R-3m.



(16)
DFT (PBE) results for CsTm2PuO8 after structural relaxation.

Cell: 5.0907 5.0907 7.7520 Å, 90.09 90.09 89.78°
Atoms (fractional coordinates):
Cs  0.0000  0.0000  0.0000
Tm  0.5000  0.5000  0.2859
Tm  0.5000  0.5000  0.7141
Pu  0.0000  0.0000  0.5000
O  0.1902  0.8078  0.3196
O  0.1922  0.8098  0.6804
O  0.3000  0.3000  0.4997
O  0.3948  0.3948  0.9997
O  0.6052  0.6052  0.0003
O  0.7000  0.7000  0.5003
O  0.8078  0.1902  0.3196
O  0.8098  0.1922  0.6804

Output
The crystal system is monoclinic. Its spin magnetization is 1.0 μB per cell. Its formation energy without anion corrections is -2.52 eV per atom. The total energy is -93.991 eV/cell. As for the symmetry: C2/m.



(17)
DFT (PBE) results for Cs4TmPu3O12 after structural relaxation.

Cell: 7.5757 7.5757 7.5757 Å, 109.47 109.47 109.47°
Atoms (fractional coordinates):
Cs  0.0000  0.0000  0.5000
Cs  0.0000  0.5000  0.0000
Cs  0.5000  0.0000  0.0000
Cs  0.5000  0.5000  0.5000
Tm  0.0000  0.0000  0.0000
Pu  0.0000  0.5000  0.5000
Pu  0.5000  0.0000  0.5000
Pu  0.5000  0.5000  0.0000
O  0.0000  0.2666  0.2666
O  0.0000  0.7334  0.7334
O  0.2500  0.5000  0.7500
O  0.2500  0.7500  0.5000
O  0.2666  0.0000  0.2666
O  0.2666  0.2666  0.0000
O  0.5000  0.2500  0.7500
O  0.5000  0.7500  0.2500
O  0.7334  0.0000  0.7334
O  0.7334  0.7334  0.0000
O  0.7500  0.2500  0.5000
O  0.7500  0.5000  0.2500

Output
The crystal system is cubic. Its spin magnetization is 7.0 μB per cell. Its formation energy without anion corrections is -2.47 eV per atom. The total energy is -159.784 eV/cell. As for the symmetry: Im-3m.



(18)
DFT (PBE) results for Cs2TmPuO6 after structural relaxation.

Cell: 6.1770 6.1770 6.1770 Å, 60.00 60.00 60.00°
Atoms (fractional coordinates):
Cs  0.2500  0.2500  0.2500
Cs  0.7500  0.7500  0.7500
Tm  0.0000  0.0000  0.0000
Pu  0.5000  0.5000  0.5000
O  0.2650  0.2650  0.7350
O  0.2650  0.7350  0.2650
O  0.2650  0.7350  0.7350
O  0.7350  0.2650  0.2650
O  0.7350  0.2650  0.7350
O  0.7350  0.7350  0.2650

Output
The crystal system is cubic. Its spin magnetization is 1.0 μB per cell. Its formation energy without anion corrections is -2.46 eV per atom. The total energy is -74.895 eV/cell. As for the symmetry: Fm-3m.